# 1
Sr4U3N8 | PBE-GGA | relaxed

Calculated values
The uncorrected energy is -8.228 eV/atom.

a = 7.4896 Å, b = 7.4896 Å, c = 7.4896 Å
α = 56.23°, β = 56.23°, γ = 56.23°
With the nearest neighbours (Å) after each atom.
Atoms (fractional coordinates):
Sr 0.0000 0.0000 0.0000  6 N 2.55
Sr 0.1531 0.1531 0.1531  1 N 2.41
Sr 0.5000 0.5000 0.5000  6 N 2.67
Sr 0.8469 0.8469 0.8469  1 N 2.41
U 0.0000 0.5000 0.5000  6 N 2.26-2.27
U 0.5000 0.0000 0.5000  6 N 2.26-2.27
U 0.5000 0.5000 0.0000  6 N 2.26-2.27
N 0.2475 0.2475 0.6930  2 U 2.27
N 0.2475 0.6930 0.2475  2 U 2.27
N 0.2812 0.2812 0.2812  3 U 2.26, 1 Sr 2.41
N 0.3070 0.7525 0.7525  2 U 2.27
N 0.6930 0.2475 0.2475  2 U 2.27
N 0.7188 0.7188 0.7188  3 U 2.26, 1 Sr 2.41
N 0.7525 0.3070 0.7525  2 U 2.27
N 0.7525 0.7525 0.3070  2 U 2.27

***

# 2
TaCu2As | PBE-GGA | relaxed

Calculated values
The uncorrected energy is -6.051 eV/atom. The energy of formation from the pure elements comes out at 0.122 eV per atom.

a = 4.9209 Å, b = 4.9209 Å, c = 2.8179 Å
α = 90.00°, β = 90.00°, γ = 117.00°
With the nearest neighbours (Å) after each atom.
Atoms (fractional coordinates):
Ta 0.0000 0.0000 0.0000  2 As 2.57, 2 Ta 2.82, 8 Cu 2.84
Cu 0.0000 0.5000 0.5000  4 Cu 2.57-2.82, 4 Ta 2.84, 4 As 2.84
Cu 0.5000 0.0000 0.5000  4 Cu 2.57-2.82, 4 Ta 2.84, 4 As 2.84
As 0.5000 0.5000 0.0000  2 Ta 2.57, 2 As 2.82, 8 Cu 2.84